# 1
Compound: MgGaBO4
Source: the Alexandria database
Functional: PBE
Structure: relaxed

```
28
Lattice="9.341 0.000 0.000 0.000 3.112 0.000 0.000 0.000 9.395" Properties=species:S:1:pos:R:3 pbc="T T T"
Mg 0.958 0.778 1.731
Mg 3.712 2.334 6.429
Mg 5.629 0.778 2.966
Mg 8.382 2.334 7.663
Ga 1.078 0.778 5.335
Ga 3.593 2.334 0.638
Ga 5.748 0.778 8.757
Ga 8.263 2.334 4.059
B 1.551 0.778 8.171
B 3.119 2.334 3.474
B 6.222 0.778 5.921
B 7.789 2.334 1.224
O 0.072 0.778 3.615
O 0.210 0.778 8.169
O 2.268 0.778 9.392
O 2.268 0.778 6.955
O 2.402 2.334 2.258
O 2.403 2.334 4.695
O 4.460 2.334 3.472
O 4.599 2.334 8.312
O 4.742 0.778 1.083
O 4.880 0.778 5.923
O 6.938 0.778 4.700
O 6.939 0.778 7.136
O 7.073 2.334 0.002
O 7.072 2.334 2.439
O 9.131 2.334 1.225
O 9.269 2.334 5.780
```

Computed properties:
E_form (uncorrected): -2.35 eV/atom
Calculated density: 4.1 Mg/m³
ΔE to the lowest computed polymorph: 0.0 kJ per mole of atoms
D(E_F): 0.0 states/eV/f.u.
SG: Pnma, No. 62


# 2
Compound: Mg6GaBO8
Source: the Alexandria database
Functional: PBE
Structure: relaxed

```
16
Lattice="4.244 0.000 0.000 0.000 4.244 0.000 0.000 0.000 8.661" Properties=species:S:1:pos:R:3 pbc="T T T"
Mg 0.000 0.000 0.000
Mg 0.000 2.122 2.177
Mg 0.000 2.122 6.484
Mg 2.122 0.000 2.177
Mg 2.122 0.000 6.484
Mg 2.122 2.122 0.000
Ga 0.000 0.000 4.331
B 2.122 2.122 4.331
O 0.000 0.000 2.227
O 0.000 0.000 6.434
O 0.000 2.122 0.000
O 0.000 2.122 4.331
O 2.122 0.000 0.000
O 2.122 0.000 4.331
O 2.122 2.122 2.057
O 2.122 2.122 6.604
```

Computed properties:
E_form (uncorrected): -2.03 eV/atom
Calculated density: 3.8 Mg/m³
ΔE to the lowest computed polymorph: 2.8 kJ per mole of atoms
D(E_F): 2.0 states/eV/f.u.
SG: P4/mmm, No. 123


# 3
Compound: Mg6GaBO8
Source: the Alexandria database
Functional: PBE
Structure: relaxed

```
16
Lattice="4.257 0.000 0.000 0.000 4.257 0.000 0.000 0.000 8.638" Properties=species:S:1:pos:R:3 pbc="T T T"
Mg 0.000 0.000 0.000
Mg 0.000 0.000 4.319
Mg 0.000 2.128 2.078
Mg 0.000 2.128 6.560
Mg 2.128 0.000 2.078
Mg 2.128 0.000 6.560
Ga 2.128 2.128 4.319
B 2.128 2.128 0.000
O 0.000 0.000 2.159
O 0.000 0.000 6.479
O 0.000 2.128 0.000
O 0.000 2.128 4.319
O 2.128 0.000 0.000
O 2.128 0.000 4.319
O 2.128 2.128 2.345
O 2.128 2.128 6.293
```

Computed properties:
E_form (uncorrected): -2.05 eV/atom
Calculated density: 3.8 Mg/m³
ΔE to the lowest computed polymorph: 0.0 kJ per mole of atoms
D(E_F): 1.3 states/eV/f.u.
SG: P4/mmm, No. 123


# 4
Compound: MgGaBO2
Source: the Alexandria database
Functional: PBE
Structure: relaxed

```
5
Lattice="3.959 0.000 0.000 0.000 3.959 0.000 0.000 0.000 4.038" Properties=species:S:1:pos:R:3 pbc="T T T"
Mg 0.000 0.000 0.000
Ga 1.980 1.980 2.019
B 1.980 1.980 0.000
O 0.000 1.980 2.019
O 1.980 0.000 2.019
```

Computed properties:
E_form (uncorrected): -0.10 eV/atom
Calculated density: 3.6 Mg/m³
D(E_F): 1.9 states/eV/f.u.
SG: P4/mmm, No. 123


# 5
Compound: MgGaBO4
Source: the Alexandria database
Functional: PBE
Structure: relaxed

```
14
Lattice="2.723 -4.164 0.000 2.723 4.164 0.000 0.000 0.000 5.721" Properties=species:S:1:pos:R:3 pbc="T T T"
Mg 0.000 0.000 0.000
Mg 0.000 0.000 2.861
Ga 2.723 1.259 4.291
Ga 2.723 -1.259 1.430
B 2.723 1.227 1.430
B 2.723 -1.227 4.291
O 2.723 2.087 0.240
O 2.723 2.087 2.620
O 1.524 0.243 1.430
O 1.524 -0.243 4.291
O 3.923 0.243 1.430
O 3.923 -0.243 4.291
O 2.723 -2.087 3.101
O 2.723 -2.087 5.481
```

Computed properties:
E_form (uncorrected): -2.26 eV/atom
Calculated density: 4.3 Mg/m³
ΔE to the lowest computed polymorph: 8.9 kJ per mole of atoms
D(E_F): 0.0 states/eV/f.u.
SG: Cmcm, No. 63


# 6
Compound: Mg2GaBPd6
Source: the Alexandria database
Functional: PBE
Structure: relaxed

```
10
Lattice="5.503 0.000 0.000 2.514 5.105 0.000 1.925 1.058 5.689" Properties=species:S:1:pos:R:3 pbc="T T T"
Mg 2.351 1.930 1.579
Mg 7.591 4.233 4.110
Ga 4.971 3.082 2.844
B 0.000 0.000 0.000
Pd 3.461 4.697 1.810
Pd 4.946 4.286 4.981
Pd 3.739 1.720 4.770
Pd 6.203 4.444 0.919
Pd 4.996 1.877 0.708
Pd 6.481 1.466 3.879
```

Computed properties:
Calculated density: 8.0 Mg/m³
D(E_F): 1.3 states/eV/f.u.
SG: P-1, No. 2
Formation enthalpy at 0 K: -506 meV/atom


- What is the formula in the fifth record?
  MgGaBO4